The following is a PBE-GGA calculation of a geometry-optimized Ru2OF structure, from Alexandria via LeMat-Bulk.

The structure in extended XYZ format:
```
8
Lattice="3.824 0.000 0.000 0.000 3.824 0.000 1.912 1.912 6.845" Properties=species:S:1:pos:R:3 pbc="T T T"
Ru 4.780 4.560 5.134
Ru 2.648 0.956 1.711
Ru 2.868 3.087 5.134
Ru 1.175 2.868 1.711
F 0.000 0.000 0.000
F 3.824 1.912 3.422
O 1.912 3.824 3.422
O 1.912 1.912 0.000
```

Computed properties:
Density of states at the Fermi level = 1.044 states/eV/atom
Mass density = 7.869 Mg/m³
V = 100 Å³/cell
Formation energy without anion corrections = -0.103 eV/atom
ΔE to the lowest computed polymorph = 0.000 eV per atom